# PBE MnZnCu2, relaxed
data_MnZnCu2
_chemical_formula_sum 'Mn1 Zn1 Cu2'
_symmetry_space_group_name_H-M 'P 1 m 1'
_symmetry_Int_Tables_number 6
_cell_length_a 2.6670
_cell_length_b 3.6047
_cell_length_c 5.3698
_cell_angle_alpha 90.00
_cell_angle_beta 90.19
_cell_angle_gamma 90.00
loop_
_symmetry_equiv_pos_as_xyz
'x,y,z'
'x,-y,z'
loop_
_atom_site_label
_atom_site_type_symbol
_atom_site_fract_x
_atom_site_fract_y
_atom_site_fract_z
Mn1 Mn 0.0000 0.0000 0.0000
Zn1 Zn 0.4980 0.5000 0.7357
Cu1 Cu 0.4996 0.5000 0.2450
Cu2 Cu 0.9982 0.0000 0.4894
# **Total DFT energy (no corrections)**: -4.604 eV per atom
# **Density of states at the Fermi level**: 2.43 states/eV per cell
# **Mass density**: 7.96 g/cm3
# **Volume**: 51.6 Å³ per cell
# **Magnetization**: 3.3 μB per cell